P.
Computed, not measured: a PBEsol-optimized structure of MgBi2MoP at the meta-GGA SCAN level of DFT.

Cell and atoms, written as POSCAR:
```
MgBi2MoP
1.0
-2.675 -2.773 -3.077
-2.787 -1.791 4.036
-3.387 3.929 -0.596
Mg P Mo Bi
1 1 1 2
Direct
0.000 0.000 0.000
0.500 0.500 0.500
0.500 0.000 0.000
0.000 0.000 0.500
0.000 0.500 0.000
```

Values from the calculation:
Spin magnetization (μB per formula unit): 3.28
Symmetry: P4/mmm, No. 123

---

Q.
Computed, not measured: a PBEsol-optimized structure of MgBi2MoP at the meta-GGA SCAN level of DFT.

Cell and atoms, written as POSCAR:
```
MgBi2MoP
1.0
-4.504 0.186 -2.470
-1.000 -4.909 1.454
-2.306 1.755 4.338
Mg P Mo Bi
1 1 1 2
Direct
0.500 0.000 0.000
0.500 0.500 0.500
0.000 0.000 0.000
0.000 0.000 0.500
0.000 0.500 0.000
```

Values from the calculation:
Spin magnetization (μB per formula unit): 1.82
Symmetry: P4/mmm, No. 123

---

Result of the stability comparison: Q is the most stable of them.

---

P.
Computed, not measured: a PBEsol-optimized structure of TaBiSe2N at the meta-GGA SCAN level of DFT.

Cell and atoms, written as POSCAR:
```
TaBiSe2N
1.0
-3.169 -1.991 1.523
2.520 -0.413 4.703
-2.162 4.638 1.566
N Bi Se Ta
1 1 2 1
Direct
0.500 0.000 0.000
0.000 0.000 0.000
0.000 0.000 0.500
0.000 0.500 0.000
0.500 0.500 0.500
```

Values from the calculation:
Spin magnetization (μB per formula unit): 2.13
Symmetry: P4/mmm, No. 123

---

Q.
Computed, not measured: a PBEsol-optimized structure of TaBiSe2N at the meta-GGA SCAN level of DFT.

Cell and atoms, written as POSCAR:
```
TaBiSe2N
1.0
-3.267 0.849 -1.931
-0.102 -4.786 -1.932
-2.798 -1.572 4.043
N Bi Se Ta
1 1 2 1
Direct
0.500 0.000 0.000
0.500 0.500 0.500
0.000 0.000 0.500
0.000 0.500 0.000
0.000 0.000 0.000
```

Values from the calculation:
Spin magnetization (μB per formula unit): 0.00
Symmetry: P4/mmm, No. 123

---

Result of the stability comparison: Q is the most stable of them.